Here is crystalline HgTe2P2 at its relaxed geometry from Alexandria via LeMat-Bulk. Energies are from PBE.

The density of states at the Fermi level comes out at 0.5151 states/eV per atom. The density is 6.5 Mg/m³. As for the polymorph energy (0 for the lowest one): 0.0100 eV/atom. The calculation puts the uncorrected formation energy at 325 meV per atom.

It has space group P4/mbm (No. 127), with a = 8.471 Å, b = 8.471 Å, c = 3.689 Å, α = 90.00°, β = 90.00° and γ = 90.00°. The asymmetric unit holds Hg at (0.000, 0.000, 0.000), Te at (0.149, 0.351, 0.500) and P at (0.206, 0.706, 0.000).

---

Here is crystalline HgTeP2 at its relaxed geometry from Alexandria via LeMat-Bulk. Energies are from PBE.

The density of states at the Fermi level comes out at 0.2609 states/eV per atom. The density is 6.6 Mg/m³. As for the polymorph energy (0 for the lowest one): 0.0792 eV/atom. The calculation puts the uncorrected formation energy at 187 meV per atom.

It has space group Pmm2 (No. 25), with a = 3.168 Å, b = 3.258 Å, c = 9.536 Å, α = 90.00°, β = 90.00° and γ = 90.00°. The asymmetric unit holds Hg at (0.000, 0.000, 0.000), Te at (0.500, 0.500, 0.683), P at (0.000, 0.000, 0.343) and P at (0.500, 0.500, 0.409).

---

Here is crystalline HgTeP2 at its relaxed geometry from Alexandria via LeMat-Bulk. Energies are from PBE.

The density of states at the Fermi level comes out at 0.8437 states/eV per atom. The density is 6.9 Mg/m³. As for the polymorph energy (0 for the lowest one): 0.5500 eV/atom. The calculation puts the uncorrected formation energy at 657 meV per atom.

It has space group I-4m2 (No. 119), with a = 3.809 Å, b = 3.809 Å, c = 12.921 Å, α = 90.00°, β = 90.00° and γ = 90.00°. The asymmetric unit holds Hg at (0.000, 0.000, 0.000), Te at (0.000, 0.500, 0.250), P at (0.000, 0.000, 0.500) and P at (0.000, 0.500, 0.750).